InFePbAu2 | PBE-GGA | optimized geometry

a b c (Å): 5.348 5.159 5.348
angles (deg): 90.00 90.00 90.00
Positions (direct):
1 Au 0.500 0.000 0.000
2 Au 0.000 0.000 0.500
3 Pb 0.000 0.000 0.000
4 In 0.500 0.500 0.500
5 Fe 0.000 0.500 0.000

Values from the calculation:
SG	P4/mmm, No. 123


InFePdAu | PBE-GGA | optimized geometry

a b c (Å): 4.570 4.570 4.570
angles (deg): 60.00 60.00 60.00
Positions (direct):
1 Pd 0.500 0.500 0.500
2 In 0.750 0.750 0.750
3 Fe 0.250 0.250 0.250
4 Au 0.000 0.000 0.000

Values from the calculation:
SG	F-43m, No. 216


VInFe2Au | PBE-GGA | optimized geometry

a b c (Å): 4.719 4.887 4.719
angles (deg): 90.00 90.00 90.00
Positions (direct):
1 In 0.000 0.000 0.000
2 V 0.000 0.500 0.000
3 Fe 0.500 0.000 0.000
4 Fe 0.000 0.000 0.500
5 Au 0.500 0.500 0.500

Values from the calculation:
SG	P4/mmm, No. 123


In2FeWAu | PBE-GGA | optimized geometry

a b c (Å): 5.015 4.680 5.015
angles (deg): 90.00 90.00 90.00
Positions (direct):
1 W 0.500 0.500 0.500
2 Fe 0.000 0.500 0.000
3 In 0.500 0.000 0.000
4 In 0.000 0.000 0.500
5 Au 0.000 0.000 0.000

Values from the calculation:
SG	P4/mmm, No. 123


ZnIn2FeAu | PBE-GGA | optimized geometry

a b c (Å): 5.016 4.663 5.016
angles (deg): 90.00 90.00 90.00
Positions (direct):
1 In 0.000 0.000 0.500
2 In 0.500 0.000 0.000
3 Au 0.500 0.500 0.500
4 Fe 0.000 0.500 0.000
5 Zn 0.000 0.000 0.000

Values from the calculation:
SG	P4/mmm, No. 123


Fe2IrAu | PBE-GGA | optimized geometry

a b c (Å): 8.960 8.960 8.960
angles (deg): 17.62 17.62 17.62
Positions (direct):
1 Fe 0.996 0.996 0.996
2 Fe 0.504 0.504 0.504
3 Au 0.750 0.750 0.750
4 Ir 0.250 0.250 0.250

Values from the calculation:
polymorph energy (0 for the lowest one)	88	meV per atom
SG	R-3m, No. 166


Fe2IrAu | PBE-GGA | optimized geometry

a b c (Å): 4.355 4.355 4.355
angles (deg): 60.00 60.00 60.00
Positions (direct):
1 Au 0.500 0.500 0.500
2 Fe 0.000 0.000 0.000
3 Fe 0.250 0.250 0.250
4 Ir 0.750 0.750 0.750

Values from the calculation:
polymorph energy (0 for the lowest one)	202	meV per atom
SG	F-43m, No. 216


Fe2IrAu | PBE-GGA | optimized geometry

a b c (Å): 5.133 5.133 5.133
angles (deg): 146.26 129.65 61.99
Positions (direct):
1 Au 0.239 0.739 0.500
2 Fe 0.983 0.983 0.000
3 Fe 0.761 0.261 0.500
4 Ir 0.517 0.517 0.000

Values from the calculation:
polymorph energy (0 for the lowest one)	89	meV per atom
SG	Imm2, No. 44


Fe2IrAu | PBE-GGA | optimized geometry

a b c (Å): 4.643 4.643 2.766
angles (deg): 90.00 90.00 107.23
Positions (direct):
1 Fe 0.000 0.000 0.000
2 Fe 0.500 0.500 0.000
3 Ir 0.500 0.000 0.500
4 Au 0.000 0.500 0.500

Values from the calculation:
polymorph energy (0 for the lowest one)	21	meV per atom
SG	Cmmm, No. 65


Fe2IrAu | PBE-GGA | optimized geometry

a b c (Å): 3.746 3.914 3.914
angles (deg): 90.00 90.00 90.00
Positions (direct):
1 Fe 0.000 0.000 0.000
2 Fe 0.000 0.500 0.500
3 Au 0.500 0.000 0.500
4 Ir 0.500 0.500 0.000

Values from the calculation:
polymorph energy (0 for the lowest one)	39	meV per atom
SG	P4/mmm, No. 123


Fe2IrAu | PBE-GGA | optimized geometry

a b c (Å): 4.247 4.247 4.247
angles (deg): 60.00 60.00 60.00
Positions (direct):
1 Ir 0.000 0.000 0.000
2 Fe 0.750 0.750 0.750
3 Fe 0.250 0.250 0.250
4 Au 0.500 0.500 0.500

Values from the calculation:
polymorph energy (0 for the lowest one)	558	meV per atom
SG	Fm-3m, No. 225


FeIr2Au2 | PBE-GGA | optimized geometry

a b c (Å): 6.349 6.349 4.204
angles (deg): 90.00 90.00 90.00
Positions (direct):
1 Ir 0.637 0.137 0.000
2 Ir 0.863 0.637 0.000
3 Ir 0.137 0.363 0.000
4 Ir 0.363 0.863 0.000
5 Au 0.672 0.828 0.500
6 Au 0.172 0.672 0.500
7 Au 0.328 0.172 0.500
8 Au 0.828 0.328 0.500
9 Fe 0.000 0.000 0.000
10 Fe 0.500 0.500 0.000

Values from the calculation:
polymorph energy (0 for the lowest one)	0	meV per atom
SG	P4/mbm, No. 127


Number 1: E_tot -17.3 eV/cell, density 8.7 Mg/m³. Number 2: E_tot -20.0 eV/cell, density 11.7 Mg/m³. Number 3: E_tot -23.7 eV/cell, density 7.2 Mg/m³. Number 4: E_tot -20.9 eV/cell, density 9.4 Mg/m³. Number 5: E_tot -15.1 eV/cell, density 7.8 Mg/m³. Number 6: E_tot -28.4 eV/cell, density 14.5 Mg/m³. Number 7: E_tot -28.0 eV/cell, density 14.2 Mg/m³. Number 8: E_tot -28.4 eV/cell, density 14.5 Mg/m³. Number 9: E_tot -28.7 eV/cell, density 14.6 Mg/m³. Number 10: E_tot -28.6 eV/cell, density 14.5 Mg/m³. Number 11: E_tot -26.5 eV/cell, density 15.4 Mg/m³. Number 12: E_tot -60.9 eV/cell, density 16.4 Mg/m³.